The following is a PBE calculation of an optimized crystal structure of HfHIrRu2, from the Alexandria database.

The value obtained for the size of the total moment is 0.00 μB per cell. The density of states at the Fermi level is 5.89 states/eV/cell. The value obtained for the final energy is -8.529 eV/atom.

The space group is P4/mmm (No. 123) and the conventional cell measures 3.993, 3.993 and 4.006 Å, with angles of 90.00, 90.00 and 90.00 degrees. The distinct sites, in fractional coordinates, are Hf at (0.000, 0.000, 0.000), H at (0.500, 0.500, 0.500), Ir at (0.500, 0.500, 0.000) and Ru at (0.000, 0.500, 0.500).

***

The following is a PBE calculation of an optimized crystal structure of Mg2SnP, from the Alexandria database.

The value obtained for the size of the total moment is 0.00 μB per cell. The density of states at the Fermi level is 7.84 states/eV/cell. The value obtained for the final energy is -3.303 eV/atom. Its formation energy is -152.1 meV/atom.

The space group is I-42d (No. 122) and the conventional cell measures 7.689, 7.689 and 6.128 Å, with angles of 90.00, 90.00 and 90.00 degrees. The distinct sites, in fractional coordinates, are Mg at (0.188, 0.250, 0.125), Sn at (0.000, 0.000, 0.500) and P at (0.000, 0.000, 0.000).

***

The following is a PBE calculation of an optimized crystal structure of BeNi2Pt, from the Alexandria database.

The value obtained for the size of the total moment is 0.84 μB per cell. The density of states at the Fermi level is 4.94 states/eV/cell. The value obtained for the final energy is -5.574 eV/atom. Its formation energy is -241.3 meV/atom.

The space group is Pm (No. 6) and the conventional cell measures 2.651, 3.610 and 4.987 Å, with angles of 90.00, 105.39 and 90.00 degrees. The distinct sites, in fractional coordinates, are Be at (0.000, 0.000, 0.000), Ni at (0.142, 0.500, 0.276), Ni at (0.745, 0.000, 0.485) and Pt at (0.406, 0.500, 0.807).

***

The following is a PBE calculation of an optimized crystal structure of Cd2AsN, from the Alexandria database.

The value obtained for the size of the total moment is 8.02 μB per cell. The density of states at the Fermi level is 6.06 states/eV/cell. The value obtained for the final energy is -2.695 eV/atom. For the uncorrected formation energy, the calculation gives 1007 meV/atom.

The space group is Fm-3m (No. 225) and the conventional cell measures 6.636, 6.636 and 6.636 Å, with angles of 90.00, 90.00 and 90.00 degrees. The distinct sites, in fractional coordinates, are Cd at (0.250, 0.250, 0.250), As at (0.000, 0.000, 0.000) and N at (0.000, 0.000, 0.500).

***

The following is a PBE calculation of an optimized crystal structure of Ce4Dy3Sb4, from the Alexandria database.

The value obtained for the size of the total moment is 0.20 μB per cell. The density of states at the Fermi level is 33.70 states/eV/cell. The value obtained for the final energy is -5.511 eV/atom. For the uncorrected formation energy, the calculation gives -599 meV/atom.

The space group is Immm (No. 71) and the conventional cell measures 4.071, 10.415 and 15.316 Å, with angles of 90.00, 90.00 and 90.00 degrees. The distinct sites, in fractional coordinates, are Ce at (0.000, 0.227, 0.193), Dy at (0.000, 0.000, 0.386), Dy at (0.000, 0.500, 0.500), Sb at (0.000, 0.316, 0.000) and Sb at (0.000, 0.500, 0.281).

***

The following is a PBE calculation of an optimized crystal structure of BaY2Be, from the Alexandria database.

The value obtained for the size of the total moment is 0.00 μB per cell. The density of states at the Fermi level is 4.86 states/eV/cell. The value obtained for the final energy is -4.095 eV/atom. Its formation energy is 549.6 meV/atom.

The space group is P4/mmm (No. 123) and the conventional cell measures 4.889, 4.889 and 5.052 Å, with angles of 90.00, 90.00 and 90.00 degrees. The distinct sites, in fractional coordinates, are Ba at (0.000, 0.000, 0.000), Y at (0.000, 0.500, 0.500) and Be at (0.500, 0.500, 0.000).